Computed, not measured: a relaxed structure of CsMg2Cl5 at the GGA-PBE level of DFT.

The structure belongs to space group Cmcm (No. 63); the cell edges are 5.540, 12.046 and 12.981 Å and the angles 90.00°, 90.00° and 90.00°. The distinct sites, in fractional coordinates, are Cs at (0.000, 0.010, 0.250), Mg at (0.000, 0.355, 0.055), Cl at (0.000, 0.170, 0.529), Cl at (0.000, 0.300, 0.250) and Cl at (0.000, 0.451, 0.613).

Its total energy is -111.8 eV/cell. For the formation energy without anion corrections, the calculation gives -1.8338 eV/atom. As for the volume: 866.3 Å³ per cell. Its total moment is 0.0 Bohr magnetons per cell. The density of states at the Fermi level comes out at 0.00 states/eV/f.u.